# 1
Computed, not measured: an optimized crystal structure of Mg2CdCu at the PBE level of DFT.

Output
Volume   147.36 Å³/cell
Space group   I-4m2
ΔE_f   -18 meV/atom
Theoretical density   5.1 g cm⁻³
Total magnetization   0.00 μB/cell

abc: 4.239 4.239 8.201
angles: 90.00 90.00 90.00
Sites, in units of the cell vectors:
Mg  0.000  0.000  0.000
Mg  0.000  0.500  0.250
Mg  0.500  0.000  0.750
Mg  0.500  0.500  0.500
Cd  0.000  0.500  0.750
Cd  0.500  0.000  0.250
Cu  0.000  0.000  0.500
Cu  0.500  0.500  0.000

=====

# 2
Computed, not measured: an optimized crystal structure of MgCd2Cu6 at the PBE level of DFT.

Output
Volume   144.69 Å³/cell
Space group   Fm-3m
ΔE_f   278 meV/atom
Theoretical density   7.2 g cm⁻³
Total magnetization   0.00 μB/cell

abc: 5.893 5.893 5.893
angles: 60.00 60.00 60.00
Sites, in units of the cell vectors:
Mg  0.000  0.000  0.000
Cd  0.250  0.250  0.250
Cd  0.750  0.750  0.750
Cu  0.291  0.291  0.709
Cu  0.291  0.709  0.291
Cu  0.291  0.709  0.709
Cu  0.709  0.291  0.291
Cu  0.709  0.291  0.709
Cu  0.709  0.709  0.291

=====

# 3
Computed, not measured: an optimized crystal structure of MgCd6Cu6 at the PBE level of DFT.

Output
Volume   222.66 Å³/cell
Space group   Immm
ΔE_f   -9 meV/atom
Theoretical density   8.1 g cm⁻³
Total magnetization   0.00 μB/cell

abc: 7.024 7.024 7.024
angles: 136.15 98.42 97.60
Sites, in units of the cell vectors:
Mg  0.000  0.000  0.000
Cd  0.175  0.500  0.675
Cd  0.332  0.332  0.000
Cd  0.339  0.000  0.339
Cd  0.661  0.000  0.661
Cd  0.668  0.668  0.000
Cd  0.825  0.500  0.325
Cu  0.000  0.000  0.500
Cu  0.000  0.500  0.000
Cu  0.238  0.738  0.500
Cu  0.500  0.000  0.000
Cu  0.500  0.500  0.500
Cu  0.762  0.262  0.500

=====

# 4
Computed, not measured: an optimized crystal structure of MgCd3Cu at the PBE level of DFT.

Output
Volume   219.57 Å³/cell
Space group   C2
ΔE_f   53 meV/atom
Theoretical density   6.4 g cm⁻³
Total magnetization   0.00 μB/cell

abc: 6.966 6.966 7.413
angles: 121.09 121.09 47.68
Sites, in units of the cell vectors:
Mg  0.000  0.000  0.000
Mg  0.000  0.000  0.500
Cd  0.001  0.499  0.000
Cd  0.001  0.499  0.500
Cd  0.499  0.498  0.813
Cd  0.501  0.999  0.000
Cd  0.501  0.999  0.500
Cd  0.502  0.501  0.187
Cu  0.382  0.379  0.379
Cu  0.621  0.618  0.621

=====

# 5
Computed, not measured: an optimized crystal structure of Mg8Cd2Cu at the PBE level of DFT.

Output
Volume   232.03 Å³/cell
Space group   C2/m
ΔE_f   -41 meV/atom
Theoretical density   3.5 g cm⁻³
Total magnetization   0.00 μB/cell

abc: 8.338 8.338 6.232
angles: 96.78 96.78 32.66
Sites, in units of the cell vectors:
Mg  0.033  0.033  0.264
Mg  0.220  0.220  0.143
Mg  0.338  0.338  0.592
Mg  0.413  0.413  0.085
Mg  0.587  0.587  0.915
Mg  0.662  0.662  0.408
Mg  0.780  0.780  0.857
Mg  0.967  0.967  0.736
Cd  0.155  0.155  0.681
Cd  0.845  0.845  0.319
Cu  0.500  0.500  0.500

=====

# 6
Computed, not measured: an optimized crystal structure of Mg2CdCu at the PBE level of DFT.

Output
Volume   147.55 Å³/cell
Space group   Cmmm
ΔE_f   -50 meV/atom
Theoretical density   5.1 g cm⁻³
Total magnetization   0.00 μB/cell

abc: 6.679 6.700 3.297
angles: 90.00 90.00 90.00
Sites, in units of the cell vectors:
Mg  0.250  0.250  0.000
Mg  0.250  0.750  0.000
Mg  0.750  0.250  0.000
Mg  0.750  0.750  0.000
Cd  0.000  0.000  0.500
Cd  0.500  0.500  0.500
Cu  0.000  0.500  0.500
Cu  0.500  0.000  0.500

=====

# 7
Computed, not measured: an optimized crystal structure of Mg2CdCu at the PBE level of DFT.

Output
Volume   289.61 Å³/cell
Space group   F-43m
ΔE_f   -4 meV/atom
Theoretical density   5.2 g cm⁻³
Total magnetization   0.00 μB/cell

abc: 6.616 6.616 6.616
angles: 90.00 90.00 90.00
Sites, in units of the cell vectors:
Mg  0.000  0.000  0.000
Mg  0.000  0.500  0.500
Mg  0.250  0.250  0.250
Mg  0.250  0.750  0.750
Mg  0.500  0.000  0.500
Mg  0.500  0.500  0.000
Mg  0.750  0.250  0.750
Mg  0.750  0.750  0.250
Cd  0.000  0.000  0.500
Cd  0.000  0.500  0.000
Cd  0.500  0.000  0.000
Cd  0.500  0.500  0.500
Cu  0.250  0.250  0.750
Cu  0.250  0.750  0.250
Cu  0.750  0.250  0.250
Cu  0.750  0.750  0.750

=====

# 8
Computed, not measured: an optimized crystal structure of Mg8Cd2Cu at the PBE level of DFT.

Output
Volume   234.45 Å³/cell
Space group   C2/m
ΔE_f   -48 meV/atom
Theoretical density   3.4 g cm⁻³
Total magnetization   0.00 μB/cell

abc: 8.365 8.365 6.558
angles: 112.59 112.59 33.91
Sites, in units of the cell vectors:
Mg  0.003  0.003  0.259
Mg  0.183  0.183  0.694
Mg  0.362  0.362  0.616
Mg  0.371  0.371  0.101
Mg  0.629  0.629  0.899
Mg  0.638  0.638  0.384
Mg  0.817  0.817  0.306
Mg  0.997  0.997  0.741
Cd  0.182  0.182  0.181
Cd  0.818  0.818  0.819
Cu  0.500  0.500  0.500

=====

# 9
Computed, not measured: an optimized crystal structure of Mg4Cd5Cu2 at the PBE level of DFT.

Output
Volume   220.56 Å³/cell
Space group   P2/m
ΔE_f   -84 meV/atom
Theoretical density   5.9 g cm⁻³
Total magnetization   0.00 μB/cell

abc: 7.444 3.214 9.236
angles: 90.00 93.52 90.00
Sites, in units of the cell vectors:
Mg  0.181  0.000  0.357
Mg  0.222  0.000  0.937
Mg  0.778  0.000  0.063
Mg  0.819  0.000  0.643
Cd  0.167  0.500  0.650
Cd  0.449  0.500  0.169
Cd  0.500  0.500  0.500
Cd  0.551  0.500  0.831
Cd  0.833  0.500  0.350
Cu  0.068  0.500  0.130
Cu  0.932  0.500  0.870

=====

# 10
Computed, not measured: an optimized crystal structure of Mg2CdCu at the PBE level of DFT.

Output
Volume   74.73 Å³/cell
Space group   Pmm2
ΔE_f   -35 meV/atom
Theoretical density   5.0 g cm⁻³
Total magnetization   0.00 μB/cell

abc: 3.294 3.555 6.380
angles: 90.00 90.00 90.00
Sites, in units of the cell vectors:
Mg  0.000  0.000  0.000
Mg  0.500  0.500  0.288
Cd  0.000  0.000  0.554
Cu  0.500  0.500  0.796

=====

# 11
Computed, not measured: an optimized crystal structure of Mg6CdCu6 at the PBE level of DFT.

Output
Volume   214.74 Å³/cell
Space group   Immm
ΔE_f   -94 meV/atom
Theoretical density   4.9 g cm⁻³
Total magnetization   0.00 μB/cell

abc: 6.936 6.936 6.936
angles: 136.05 98.50 97.60
Sites, in units of the cell vectors:
Mg  0.161  0.500  0.661
Mg  0.170  0.170  0.000
Mg  0.327  0.000  0.327
Mg  0.673  0.000  0.673
Mg  0.830  0.830  0.000
Mg  0.839  0.500  0.339
Cd  0.500  0.500  0.000
Cu  0.000  0.000  0.500
Cu  0.000  0.500  0.000
Cu  0.255  0.755  0.500
Cu  0.500  0.000  0.000
Cu  0.500  0.500  0.500
Cu  0.745  0.245  0.500

=====

# 12
Computed, not measured: an optimized crystal structure of MgCdCu10 at the PBE level of DFT.

Output
Volume   170.40 Å³/cell
Space group   Pmmm
ΔE_f   26 meV/atom
Theoretical density   7.5 g cm⁻³
Total magnetization   0.00 μB/cell

abc: 4.122 4.855 8.514
angles: 90.00 90.00 90.00
Sites, in units of the cell vectors:
Mg  0.000  0.000  0.000
Cd  0.000  0.500  0.500
Cu  0.000  0.000  0.333
Cu  0.000  0.000  0.667
Cu  0.000  0.500  0.165
Cu  0.000  0.500  0.835
Cu  0.500  0.000  0.500
Cu  0.500  0.248  0.248
Cu  0.500  0.248  0.752
Cu  0.500  0.500  0.000
Cu  0.500  0.752  0.248
Cu  0.500  0.752  0.752

=====

# 13
Computed, not measured: an optimized crystal structure of Mg2Cd3Cu at the PBE level of DFT.

Output
Volume   122.57 Å³/cell
Space group   Pmm2
ΔE_f   -28 meV/atom
Theoretical density   6.1 g cm⁻³
Total magnetization   0.00 μB/cell

abc: 3.144 4.641 8.401
angles: 90.00 90.00 90.00
Sites, in units of the cell vectors:
Mg  0.000  0.000  0.000
Mg  0.000  0.500  0.448
Cd  0.500  0.000  0.614
Cd  0.500  0.500  0.147
Cd  0.500  0.500  0.807
Cu  0.500  0.000  0.300

=====

# 14
Computed, not measured: an optimized crystal structure of Mg8CdCu4 at the PBE level of DFT.

Output
Volume   238.04 Å³/cell
Space group   I4/mmm
ΔE_f   -42 meV/atom
Theoretical density   3.9 g cm⁻³
Total magnetization   0.00 μB/cell

abc: 7.206 7.206 7.206
angles: 97.78 97.78 136.83
Sites, in units of the cell vectors:
Mg  0.000  0.215  0.215
Mg  0.000  0.785  0.785
Mg  0.164  0.500  0.664
Mg  0.215  0.000  0.215
Mg  0.500  0.164  0.664
Mg  0.500  0.836  0.336
Mg  0.785  0.000  0.785
Mg  0.836  0.500  0.336
Cd  0.500  0.500  0.000
Cu  0.000  0.000  0.500
Cu  0.000  0.500  0.000
Cu  0.500  0.000  0.000
Cu  0.500  0.500  0.500

=====

# 15
Computed, not measured: an optimized crystal structure of Mg2CdCu at the PBE level of DFT.

Output
Volume   73.90 Å³/cell
Space group   P2/m
ΔE_f   -107 meV/atom
Theoretical density   5.0 g cm⁻³
Total magnetization   0.00 μB/cell

abc: 3.272 3.214 7.028
angles: 90.00 90.45 90.00
Sites, in units of the cell vectors:
Mg  0.001  0.000  0.215
Mg  0.999  0.000  0.785
Cd  0.500  0.500  0.500
Cu  0.500  0.500  0.000

=====

# 16
Computed, not measured: an optimized crystal structure of MgCd3Cu at the PBE level of DFT.

Output
Volume   222.82 Å³/cell
Space group   C2/m
ΔE_f   52 meV/atom
Theoretical density   6.3 g cm⁻³
Total magnetization   0.00 μB/cell

abc: 6.563 6.563 7.021
angles: 120.86 120.86 74.45
Sites, in units of the cell vectors:
Mg  0.059  0.059  0.276
Mg  0.941  0.941  0.724
Cd  0.095  0.461  0.820
Cd  0.425  0.425  0.624
Cd  0.461  0.095  0.820
Cd  0.539  0.905  0.180
Cd  0.575  0.575  0.376
Cd  0.905  0.539  0.180
Cu  0.250  0.250  0.128
Cu  0.750  0.750  0.872

=====

# 17
Computed, not measured: an optimized crystal structure of Mg6CdCu2 at the PBE level of DFT.

Output
Volume   356.90 Å³/cell
Space group   Immm
ΔE_f   -93 meV/atom
Theoretical density   3.6 g cm⁻³
Total magnetization   0.00 μB/cell

abc: 7.771 7.771 7.771
angles: 114.14 112.27 102.23
Sites, in units of the cell vectors:
Mg  0.028  0.831  0.198
Mg  0.248  0.546  0.297
Mg  0.248  0.951  0.703
Mg  0.290  0.310  0.600
Mg  0.290  0.690  0.980
Mg  0.367  0.169  0.198
Mg  0.633  0.831  0.802
Mg  0.710  0.310  0.020
Mg  0.710  0.690  0.400
Mg  0.752  0.049  0.297
Mg  0.752  0.454  0.703
Mg  0.972  0.169  0.802
Cd  0.000  0.500  0.500
Cd  0.500  0.000  0.500
Cu  0.000  0.163  0.163
Cu  0.000  0.837  0.837
Cu  0.375  0.375  0.000
Cu  0.625  0.625  0.000

=====

# 18
Computed, not measured: an optimized crystal structure of MgCd3Cu8 at the PBE level of DFT.

Output
Volume   178.39 Å³/cell
Space group   R3m
ΔE_f   -36 meV/atom
Theoretical density   8.1 g cm⁻³
Total magnetization   0.00 μB/cell

abc: 8.580 8.580 8.580
angles: 34.25 34.25 34.25
Sites, in units of the cell vectors:
Mg  0.000  0.000  0.000
Cd  0.374  0.374  0.374
Cd  0.499  0.499  0.499
Cd  0.875  0.875  0.875
Cu  0.187  0.187  0.187
Cu  0.436  0.937  0.937
Cu  0.438  0.438  0.938
Cu  0.438  0.938  0.438
Cu  0.687  0.687  0.687
Cu  0.937  0.436  0.937
Cu  0.937  0.937  0.436
Cu  0.938  0.438  0.438

=====

# 19
Computed, not measured: an optimized crystal structure of Mg2CdCu at the PBE level of DFT.

Output
Volume   233.97 Å³/cell
Space group   R3m
ΔE_f   72 meV/atom
Theoretical density   4.8 g cm⁻³
Total magnetization   0.00 μB/cell

abc: 3.050 3.050 29.037
angles: 90.00 90.00 120.00
Sites, in units of the cell vectors:
Mg  0.000  0.000  0.000
Mg  0.000  0.000  0.240
Mg  0.333  0.667  0.667
Mg  0.333  0.667  0.906
Mg  0.667  0.333  0.333
Mg  0.667  0.333  0.573
Cd  0.000  0.000  0.481
Cd  0.333  0.667  0.148
Cd  0.667  0.333  0.814
Cu  0.000  0.000  0.738
Cu  0.333  0.667  0.405
Cu  0.667  0.333  0.071

=====

# 20
Computed, not measured: an optimized crystal structure of Mg2CdCu at the PBE level of DFT.

Output
Volume   76.07 Å³/cell
Space group   Pm
ΔE_f   -45 meV/atom
Theoretical density   4.9 g cm⁻³
Total magnetization   0.00 μB/cell

abc: 3.093 4.479 5.694
angles: 90.00 105.35 90.00
Sites, in units of the cell vectors:
Mg  0.000  0.000  0.000
Mg  0.332  0.500  0.670
Cd  0.605  0.500  0.213
Cu  0.745  0.000  0.494